Entry 1:
TaCoSi2 | PBE | optimized geometry

The space group is P4mm (No. 99) and the conventional cell measures 3.081, 3.081 and 5.667 Å, with angles of 90.00, 90.00 and 90.00 degrees. The inequivalent atoms are Ta at (0.000, 0.000, 0.000), Co at (0.500, 0.500, 0.317), Si at (0.000, 0.000, 0.486) and Si at (0.500, 0.500, 0.732).

The calculation puts the uncorrected formation energy at -0.296 eV per atom.


Entry 2:
BeSiAu | PBE | optimized geometry

The space group is Amm2 (No. 38) and the conventional cell measures 3.801, 5.785 and 7.942 Å, with angles of 90.00, 90.00 and 90.00 degrees. The inequivalent atoms are Be at (0.000, 0.000, 0.000), Be at (0.500, 0.000, 0.182), Si at (0.500, 0.206, 0.485) and Au at (0.000, 0.247, 0.755).

The calculation puts the uncorrected formation energy at 0.048 eV per atom. Its distance to the lowest polymorph of the same formula is 19 kJ/mol of formula units.


Entry 3:
RbNa2Cd2 | PBE | optimized geometry

The space group is P4/mbm (No. 127) and the conventional cell measures 9.662, 9.662 and 3.656 Å, with angles of 90.00, 90.00 and 90.00 degrees. The inequivalent atoms are Rb at (0.000, 0.000, 0.000), Na at (0.173, 0.327, 0.500) and Cd at (0.113, 0.613, 0.000).

Its energy of formation is -18 meV per atom. Its distance to the lowest polymorph of the same formula is 9 kJ/mol of formula units.


Entry 4:
SiP2RhCl | PBE | optimized geometry

The space group is P4/mmm (No. 123) and the conventional cell measures 4.521, 4.521 and 4.369 Å, with angles of 90.00, 90.00 and 90.00 degrees. The inequivalent atoms are Si at (0.000, 0.000, 0.000), P at (0.000, 0.500, 0.000), Rh at (0.500, 0.500, 0.500) and Cl at (0.000, 0.000, 0.500).

The calculation puts the uncorrected formation energy at 0.817 eV per atom. Its distance to the lowest polymorph of the same formula is 70 kJ/mol of formula units.


Entry 5:
TiCoAs2Br | PBE | optimized geometry

The space group is P4/mmm (No. 123) and the conventional cell measures 4.495, 4.495 and 5.145 Å, with angles of 90.00, 90.00 and 90.00 degrees. The inequivalent atoms are Ti at (0.000, 0.000, 0.000), Co at (0.500, 0.500, 0.500), As at (0.000, 0.500, 0.500) and Br at (0.500, 0.500, 0.000).

The calculation puts the uncorrected formation energy at 0.396 eV per atom. Its distance to the lowest polymorph of the same formula is 0 kJ/mol of formula units.


Entry 6:
Sr3WCl | PBE | optimized geometry

The space group is Pm-3m (No. 221) and the conventional cell measures 5.673, 5.673 and 5.673 Å, with angles of 90.00, 90.00 and 90.00 degrees. The inequivalent atoms are Sr at (0.000, 0.000, 0.500), W at (0.500, 0.500, 0.500) and Cl at (0.000, 0.000, 0.000).

The calculation puts the uncorrected formation energy at 0.419 eV per atom. Its distance to the lowest polymorph of the same formula is 0 kJ/mol of formula units.


Entry 7:
Pm3Sm6Dy2Pu | PBE | optimized geometry

The space group is C2/m (No. 12) and the conventional cell measures 6.245, 10.825 and 11.905 Å, with angles of 90.00, 100.15 and 90.00 degrees. The inequivalent atoms are Pm at (0.000, 0.000, 0.000), Pm at (0.000, 0.333, 0.000), Sm at (0.246, 0.335, 0.745), Sm at (0.248, 0.500, 0.255), Dy at (0.000, 0.167, 0.500) and Pu at (0.000, 0.500, 0.500).

Its energy of formation is 49 meV per atom.


Entry 8:
CaRe2Tc | PBE | optimized geometry

The space group is F-43m (No. 216) and the conventional cell measures 6.387, 6.387 and 6.387 Å, with angles of 90.00, 90.00 and 90.00 degrees. The inequivalent atoms are Ca at (0.000, 0.000, 0.000), Re at (0.000, 0.000, 0.500), Re at (0.250, 0.250, 0.750) and Tc at (0.250, 0.250, 0.250).

Its energy of formation is 525 meV per atom. Its distance to the lowest polymorph of the same formula is 24 kJ/mol of formula units.


Magnetization list, top to bottom, in μB per cell: 0.000, 0.000, 0.000, 0.000, 2.443, 4.074, 13.440, 0.000